Entry from the Open Quantum Materials Database: Sr2AlOsN6 after structural relaxation (GGA-PBE).

Output
Raw total energy in eV per atom: -6.829
Crystal system: triclinic

Lattice parameters (Å, degrees): 5.5214 5.5248 5.5280 60.23 60.12 60.08
Closest atoms and distances in Å follow each position.
Space group P-1 (No. 2)
Asymmetric unit:
Sr 0.2502 0.2494 0.2495 (multiplicity 2)  12 N 2.76-2.78
Al 0.0000 0.0000 0.0000 (multiplicity 1)  6 N 1.95-1.96
Os 0.5000 0.5000 0.5000 (multiplicity 1)  6 N 1.96
N 0.2489 0.7500 0.2507 (multiplicity 2)  1 Al 1.95, 1 Os 1.96
N 0.2502 0.2494 0.7495 (multiplicity 2)  1 Al 1.96, 1 Os 1.96
N 0.2500 0.7491 0.7514 (multiplicity 2)  1 Al 1.95, 1 Os 1.96



Entry from the Open Quantum Materials Database: LuCuSnHg after structural relaxation (GGA-PBE).

Output
Raw total energy in eV per atom: -3.314
Crystal system: cubic

Lattice parameters (Å, degrees): 6.9765 6.9765 6.9765 90.00 90.00 90.00
Closest atoms and distances in Å follow each position.
Space group F-43m (No. 216)
Asymmetric unit:
Lu 0.0000 0.0000 0.0000 (multiplicity 4)  4 Cu 3.02, 4 Hg 3.02
Cu 0.2500 0.2500 0.7500 (multiplicity 4)  4 Sn 3.02, 4 Lu 3.02
Sn 0.0000 0.0000 0.5000 (multiplicity 4)  4 Hg 3.02, 4 Cu 3.02
Hg 0.2500 0.2500 0.2500 (multiplicity 4)  4 Lu 3.02, 4 Sn 3.02



Entry from the Open Quantum Materials Database: Cs2Ir after structural relaxation (GGA-PBE).

Output
Raw total energy in eV per atom: -2.454
Crystal system: cubic

Lattice parameters (Å, degrees): 13.2569 13.2569 13.2569 90.00 90.00 90.00
Closest atoms and distances in Å follow each position.
Space group Fd-3m (No. 227, origin choice 2)
Asymmetric unit:
Cs 0.0000 0.0000 0.0000 (multiplicity 16)  2 Ir 2.87
Ir 0.1250 0.1250 0.1250 (multiplicity 8)  4 Cs 2.87



Entry from the Open Quantum Materials Database: ReAgAs2 after structural relaxation (GGA-PBE).

Output
Raw total energy in eV per atom: -5.232
Crystal system: cubic

Lattice parameters (Å, degrees): 6.4731 6.4731 6.4731 90.00 90.00 90.00
Closest atoms and distances in Å follow each position.
Space group F-43m (No. 216)
Asymmetric unit:
Re 0.0000 0.0000 0.0000 (multiplicity 4)  4 Ag 2.80, 4 As 2.80
Ag 0.2500 0.2500 0.2500 (multiplicity 4)  4 As 2.80, 4 Re 2.80
As 0.0000 0.0000 0.5000 (multiplicity 4)  4 As 2.80, 4 Ag 2.80
As 0.2500 0.2500 0.7500 (multiplicity 4)  4 Re 2.80, 4 As 2.80